Entry 1:
Density functional theory data (PBE-GGA) for an optimized crystal structure of In6SnHg12.

a = 8.435 Å, b = 8.435 Å, c = 8.435 Å
α = 101.77°, β = 101.77°, γ = 101.77°
Element x y z (fractional)
1 Hg 0.126 0.383 0.473
2 Hg 0.527 0.874 0.617
3 Hg 0.874 0.617 0.527
4 Hg 0.383 0.473 0.126
5 Hg 0.647 0.930 0.003
6 Hg 0.930 0.003 0.647
7 Hg 0.617 0.527 0.874
8 Hg 0.353 0.070 0.997
9 Hg 0.070 0.997 0.353
10 Hg 0.473 0.126 0.383
11 Hg 0.003 0.647 0.930
12 Hg 0.997 0.353 0.070
13 In 0.696 0.332 0.207
14 In 0.207 0.696 0.332
15 In 0.668 0.793 0.304
16 In 0.304 0.668 0.793
17 In 0.332 0.207 0.696
18 In 0.793 0.304 0.668
19 Sn 0.000 0.000 0.000

E (eV per atom): -1.198
ΔH_f (0 K) (meV per atom): 68
Excess energy over the best structure of this formula in the dataset (eV/f.u.): 0.53
Symmetry: R-3 (148)

***

Entry 2:
Density functional theory data (PBE-GGA) for an optimized crystal structure of In5SnHg2.

a = 5.433 Å, b = 6.579 Å, c = 12.117 Å
α = 90.00°, β = 90.00°, γ = 90.00°
Element x y z (fractional)
1 Sn 0.000 0.500 0.000
2 Sn 0.000 0.000 0.500
3 In 0.500 0.658 0.113
4 In 0.000 0.694 0.753
5 In 0.000 0.306 0.247
6 In 0.000 0.000 0.000
7 In 0.000 0.806 0.253
8 In 0.000 0.500 0.500
9 In 0.500 0.342 0.887
10 In 0.000 0.194 0.747
11 In 0.500 0.158 0.387
12 In 0.500 0.842 0.613
13 Hg 0.500 0.143 0.130
14 Hg 0.500 0.357 0.630
15 Hg 0.500 0.643 0.370
16 Hg 0.500 0.857 0.870

E (eV per atom): -2.274
ΔH_f (0 K) (meV per atom): 13
Excess energy over the best structure of this formula in the dataset (eV/f.u.): 0.00
Symmetry: Pbam (55)

***

Entry 3:
Density functional theory data (PBE-GGA) for an optimized crystal structure of In4Sn2Hg.

a = 6.463 Å, b = 6.463 Å, c = 10.554 Å
α = 90.00°, β = 90.00°, γ = 110.62°
Element x y z (fractional)
1 In 0.278 0.258 0.500
2 In 0.742 0.722 0.000
3 In 0.000 0.500 0.240
4 In 0.000 0.500 0.760
5 In 0.500 0.000 0.740
6 In 0.258 0.278 0.000
7 In 0.722 0.742 0.500
8 In 0.500 0.000 0.260
9 Hg 0.500 0.500 0.250
10 Hg 0.500 0.500 0.750
11 Sn 0.210 0.749 0.500
12 Sn 0.749 0.210 0.000
13 Sn 0.790 0.251 0.500
14 Sn 0.251 0.790 0.000

E (eV per atom): -2.679
ΔH_f (0 K) (meV per atom): 73
Excess energy over the best structure of this formula in the dataset (eV/f.u.): 0.20
Symmetry: Cccm (66)

***

Entry 4:
Density functional theory data (PBE-GGA) for an optimized crystal structure of In2SnHg5.

a = 7.091 Å, b = 7.053 Å, c = 6.593 Å
α = 125.09°, β = 123.63°, γ = 84.82°
Element x y z (fractional)
1 Sn 0.778 0.778 0.000
2 Hg 0.278 0.778 0.000
3 Hg 0.278 0.278 0.000
4 Hg 0.778 0.278 0.000
5 Hg 0.278 0.278 0.500
6 Hg 0.778 0.778 0.500
7 In 0.778 0.278 0.500
8 In 0.278 0.778 0.500

E (eV per atom): -1.337
ΔH_f (0 K) (meV per atom): 37
Excess energy over the best structure of this formula in the dataset (eV/f.u.): 0.05
Symmetry: P1 (1)

***

Entry 5:
Density functional theory data (PBE-GGA) for an optimized crystal structure of In2Sn3Hg.

a = 6.383 Å, b = 6.383 Å, c = 9.169 Å
α = 87.98°, β = 87.98°, γ = 119.34°
Element x y z (fractional)
1 In 0.979 0.738 0.918
2 In 0.021 0.262 0.082
3 In 0.262 0.021 0.582
4 In 0.738 0.979 0.418
5 Hg 0.125 0.875 0.250
6 Hg 0.875 0.125 0.750
7 Sn 0.765 0.511 0.581
8 Sn 0.378 0.622 0.750
9 Sn 0.235 0.489 0.419
10 Sn 0.511 0.765 0.081
11 Sn 0.489 0.235 0.919
12 Sn 0.622 0.378 0.250

E (eV per atom): -2.925
ΔH_f (0 K) (meV per atom): 40
Symmetry: C2/c (15)

***

Entry 6:
Density functional theory data (PBE-GGA) for an optimized crystal structure of In5SnHg12.

a = 5.775 Å, b = 6.137 Å, c = 15.343 Å
α = 92.64°, β = 95.63°, γ = 61.93°
Element x y z (fractional)
1 Hg 0.736 0.333 0.168
2 Hg 0.487 0.667 0.332
3 Hg 0.595 0.000 0.832
4 Hg 0.823 0.000 0.333
5 Hg 0.264 0.667 0.832
6 Hg 0.931 0.333 0.832
7 Hg 0.154 0.333 0.332
8 Hg 0.846 0.667 0.668
9 Hg 0.405 0.000 0.168
10 Hg 0.069 0.667 0.168
11 Hg 0.513 0.333 0.668
12 Hg 0.177 0.000 0.667
13 In 0.668 0.665 0.000
14 In 0.500 0.000 0.500
15 In 0.833 0.335 0.500
16 In 0.332 0.335 0.000
17 In 0.167 0.665 0.500
18 Sn 0.000 0.000 0.000

E (eV per atom): -1.167
ΔH_f (0 K) (meV per atom): 18
Symmetry: C2/m (12)

***

Entry 7:
Density functional theory data (PBE-GGA) for an optimized crystal structure of In7Sn4Hg.

a = 6.161 Å, b = 9.134 Å, c = 7.124 Å
α = 72.19°, β = 64.38°, γ = 70.29°
Element x y z (fractional)
1 In 0.500 0.000 0.000
2 In 0.251 0.997 0.500
3 In 0.000 0.668 0.333
4 In 0.000 0.332 0.667
5 In 0.249 0.668 0.835
6 In 0.749 0.003 0.500
7 In 0.751 0.332 0.165
8 Sn 0.501 0.335 0.664
9 Sn 0.746 0.667 0.840
10 Sn 0.499 0.665 0.336
11 Sn 0.254 0.333 0.160
12 Hg 0.000 0.000 0.000

E (eV per atom): -2.910
ΔH_f (0 K) (meV per atom): 46
Excess energy over the best structure of this formula in the dataset (eV/f.u.): 0.21
Symmetry: C2/m (12)

***

Entry 8:
Density functional theory data (PBE-GGA) for an optimized crystal structure of In3Sn4Hg4.

a = 3.194 Å, b = 8.243 Å, c = 13.864 Å
α = 123.41°, β = 93.37°, γ = 95.96°
Element x y z (fractional)
1 Sn 0.483 0.307 0.735
2 Sn 0.517 0.693 0.265
3 Sn 0.472 0.422 0.362
4 Sn 0.528 0.578 0.638
5 Hg 0.507 0.132 0.450
6 Hg 0.493 0.868 0.550
7 Hg 0.437 0.230 0.083
8 Hg 0.563 0.770 0.917
9 In 0.000 0.500 0.000
10 In 0.844 0.984 0.187
11 In 0.156 0.016 0.813

E (eV per atom): -2.285
ΔH_f (0 K) (meV per atom): 28
Excess energy over the best structure of this formula in the dataset (eV/f.u.): 0.00
Symmetry: P-1 (2)

***

Entry 9:
Density functional theory data (PBE-GGA) for an optimized crystal structure of InSnHg2.

a = 3.324 Å, b = 3.324 Å, c = 11.496 Å
α = 81.69°, β = 81.69°, γ = 60.00°
Element x y z (fractional)
1 Hg 0.912 0.912 0.264
2 Hg 0.088 0.088 0.736
3 In 0.500 0.500 0.500
4 Sn 0.000 0.000 0.000

E (eV per atom): -1.813
ΔH_f (0 K) (meV per atom): 23
Symmetry: R-3m (166)

***

Entry 10:
Density functional theory data (PBE-GGA) for an optimized crystal structure of In2SnHg4.

a = 5.685 Å, b = 5.685 Å, c = 8.537 Å
α = 70.55°, β = 70.55°, γ = 90.00°
Element x y z (fractional)
1 In 0.201 0.201 0.597
2 In 0.799 0.799 0.403
3 Hg 0.605 0.605 0.790
4 Hg 0.000 0.500 0.000
5 Hg 0.395 0.395 0.210
6 Hg 0.500 0.000 0.000
7 Sn 0.000 0.000 0.000

E (eV per atom): -1.305
ΔH_f (0 K) (meV per atom): 222
Excess energy over the best structure of this formula in the dataset (eV/f.u.): 1.31
Symmetry: I4/mmm (139)

***

Entry 11:
Density functional theory data (PBE-GGA) for an optimized crystal structure of In15SnHg4.

a = 4.733 Å, b = 4.733 Å, c = 23.713 Å
α = 90.00°, β = 90.00°, γ = 90.00°
Element x y z (fractional)
1 In 0.500 0.500 0.400
2 In 0.000 0.500 0.899
3 In 0.000 0.500 0.101
4 In 0.000 0.500 0.500
5 In 0.500 0.000 0.899
6 In 0.000 0.500 0.300
7 In 0.500 0.500 0.200
8 In 0.500 0.000 0.300
9 In 0.500 0.000 0.700
10 In 0.500 0.000 0.101
11 In 0.500 0.000 0.500
12 In 0.500 0.500 0.600
13 In 0.000 0.500 0.700
14 In 0.500 0.500 0.000
15 In 0.500 0.500 0.800
16 Sn 0.000 0.000 0.000
17 Hg 0.000 0.000 0.202
18 Hg 0.000 0.000 0.398
19 Hg 0.000 0.000 0.602
20 Hg 0.000 0.000 0.798

E (eV per atom): -2.304
ΔH_f (0 K) (meV per atom): 10
Symmetry: P4/mmm (123)

***

Entry 12:
Density functional theory data (PBE-GGA) for an optimized crystal structure of In3Sn7Hg2.

a = 3.342 Å, b = 5.313 Å, c = 19.499 Å
α = 104.74°, β = 90.00°, γ = 90.00°
Element x y z (fractional)
1 Sn 0.500 0.983 0.202
2 Sn 0.000 0.000 0.000
3 Sn 0.000 0.425 0.145
4 Sn 0.000 0.575 0.855
5 Sn 0.500 0.017 0.798
6 Sn 0.500 0.713 0.460
7 Sn 0.500 0.287 0.540
8 Hg 0.500 0.432 0.701
9 Hg 0.500 0.568 0.299
10 In 0.000 0.128 0.367
11 In 0.000 0.872 0.633
12 In 0.500 0.500 0.000

E (eV per atom): -2.991
ΔH_f (0 K) (meV per atom): 79
Symmetry: P2/m (10)

***

Q: Among the records above, which one has the highest E?
A: In5SnHg12

***

Q: What is the ΔH_f (0 K) in the eleventh record?
A: 10 meV per atom